Entry one
A relaxed Be2VIr2 crystal, computed with PBE.

DOS(E_F)   3.0 states/eV/f.u.
Calculated density   12.31 g cm⁻³

a = 6.6218 Å, b = 6.6218 Å, c = 2.7904 Å
α = 90.00°, β = 90.00°, γ = 90.00°
Last column: nearest neighbours and their distance in Å.
Space group P4/mbm (No. 127)
Inequivalent atoms, fractional coordinates:
Be: 0.1490 0.3510 0.0000 x4  6 Ir 2.36-2.41
V: 0.0000 0.0000 0.5000 x2  4 Ir 2.53, 2 V 2.79
Ir: 0.1483 0.6483 0.5000 x4  6 Be 2.36-2.41, 2 V 2.53

Entry two
A relaxed Be2VIr2 crystal, computed with PBE.

DOS(E_F)   1.7 states/eV/f.u.
Calculated density   12.82 g cm⁻³

a = 2.9711 Å, b = 14.1520 Å, c = 2.7936 Å
α = 90.00°, β = 90.00°, γ = 90.00°
Last column: nearest neighbours and their distance in Å.
Space group Cmmm (No. 65)
Inequivalent atoms, fractional coordinates:
Be: 0.0000 0.2000 0.0000 x4  2 Be 2.05, 4 Ir 2.29
V: 0.0000 0.0000 0.0000 x2  8 Ir 2.72, 4 V 2.79-2.97, 2 Be 2.83
Ir: 0.0000 0.3730 0.5000 x4  4 Be 2.29

Entry three
A relaxed Be2VIr2 crystal, computed with PBE.

DOS(E_F)   3.5 states/eV/f.u.
Calculated density   12.91 g cm⁻³

a = 6.4769 Å, b = 6.4769 Å, c = 2.7797 Å
α = 90.00°, β = 90.00°, γ = 90.00°
Last column: nearest neighbours and their distance in Å.
Space group P4/mbm (No. 127)
Inequivalent atoms, fractional coordinates:
Be: 0.1212 0.3788 0.0000 x4  1 Be 2.22, 6 Ir 2.34-2.38
V: 0.0000 0.0000 0.0000 x2  4 Be 2.58, 8 Ir 2.77, 2 V 2.78
Ir: 0.1734 0.6734 0.5000 x4  6 Be 2.34-2.38

Quick one: least stable of them? entry one

Entry one
A relaxed BeVIr crystal, computed with PBE.

DOS(E_F)   2.6 states/eV/f.u.
Calculated density   11.75 g cm⁻³

a = 2.7704 Å, b = 14.7075 Å, c = 3.4988 Å
α = 90.00°, β = 90.00°, γ = 90.00°
Last column: nearest neighbours and their distance in Å.
Space group Cmcm (No. 63)
Inequivalent atoms, fractional coordinates:
Be: 0.0000 0.0389 0.2500 x4  2 Be 2.09
V: 0.0000 0.2049 0.2500 x4  1 Be 2.44, 4 V 2.60, 4 Ir 2.73
Ir: 0.0000 0.4024 0.2500 x4  6 Be 2.39-2.44

Entry two
A relaxed BeVIr crystal, computed with PBE.

DOS(E_F)   1.8 states/eV/f.u.
Calculated density   11.23 g cm⁻³

a = 3.9848 Å, b = 3.9848 Å, c = 2.7108 Å
α = 90.00°, β = 90.00°, γ = 120.00°
Last column: nearest neighbours and their distance in Å.
Space group P3m1 (No. 156)
Inequivalent atoms, fractional coordinates:
Be: 0.0000 0.0000 0.0000 x1  3 Ir 2.30
V: 0.6667 0.3333 0.5177 x1  6 Ir 2.64-2.70, 6 Be 2.65-2.69, 2 V 2.71
Ir: 0.3333 0.6667 0.0425 x1  3 Be 2.30

Quick one: least stable of them? entry two

Entry one
A relaxed Be2IrW crystal, computed with PBE.

DOS(E_F)   2.0 states/eV/f.u.
Calculated density   14.04 g cm⁻³

a = 2.8001 Å, b = 2.8001 Å, c = 5.9440 Å
α = 90.00°, β = 90.00°, γ = 90.00°
Last column: nearest neighbours and their distance in Å.
Space group P4/mmm (No. 123)
Inequivalent atoms, fractional coordinates:
Be: 0.0000 0.0000 0.2142 x2  4 Ir 2.35, 1 Be 2.55, 4 W 2.61
Ir: 0.5000 0.5000 0.0000 x1  8 Be 2.35
W: 0.5000 0.5000 0.5000 x1  8 Be 2.61, 4 W 2.80

Entry two
A relaxed Be2IrW crystal, computed with PBE.

DOS(E_F)   1.3 states/eV/f.u.
Calculated density   14.30 g cm⁻³

a = 3.7153 Å, b = 2.8177 Å, c = 8.7399 Å
α = 90.00°, β = 90.00°, γ = 90.00°
Last column: nearest neighbours and their distance in Å.
Space group Amm2 (No. 38)
Inequivalent atoms, fractional coordinates:
Be: 0.0000 0.0000 0.0000 x2  2 Be 2.20, 2 Ir 2.37
Be: 0.5000 0.0000 0.1353 x2  2 Be 2.20, 3 W 2.38-2.44, 4 Ir 2.44
Ir: 0.0000 0.0000 0.7174 x2  7 Be 2.37-2.47
W: 0.5000 0.0000 0.4077 x2  7 Be 2.38-2.47

Quick one: least stable of them? entry one

Entry one
A relaxed Be2IrW crystal, computed with PBE.

DOS(E_F)   1.4 states/eV/f.u.
Calculated density   13.86 g cm⁻³

a = 2.8179 Å, b = 4.0557 Å, c = 8.2650 Å
α = 90.00°, β = 90.00°, γ = 90.00°
Last column: nearest neighbours and their distance in Å.
Space group Imm2 (No. 44)
Inequivalent atoms, fractional coordinates:
Be: 0.0000 0.0000 0.0000 x2  2 Be 2.28, 2 Ir 2.46, 4 W 2.48
Be: 0.0000 0.5000 0.2833 x2  2 Be 2.28, 4 Ir 2.49
Ir: 0.0000 0.5000 0.7445 x2  6 Be 2.46-2.49, 4 W 2.69-2.74
W: 0.0000 0.0000 0.5214 x2  6 Be 2.48-2.58, 4 Ir 2.69-2.74

Entry two
A relaxed Be2IrW crystal, computed with PBE.

DOS(E_F)   1.7 states/eV/f.u.
Calculated density   13.06 g cm⁻³

a = 2.7461 Å, b = 3.8447 Å, c = 4.7465 Å
α = 90.00°, β = 90.34°, γ = 90.00°
Last column: nearest neighbours and their distance in Å.
Space group P2/m (No. 10)
Inequivalent atoms, fractional coordinates:
Be: 0.0071 0.0000 0.2325 x2  1 Be 2.21, 2 Ir 2.30
Ir: 0.0000 0.5000 0.5000 x1  4 Be 2.30
W: 0.5000 0.5000 0.0000 x1  8 Be 2.60-2.61, 4 Ir 2.73-2.75, 2 W 2.75

Entry three
A relaxed Be2IrW crystal, computed with PBE.

DOS(E_F)   2.3 states/eV/f.u.
Calculated density   13.36 g cm⁻³

a = 3.6088 Å, b = 3.6088 Å, c = 7.5202 Å
α = 90.00°, β = 90.00°, γ = 90.00°
Last column: nearest neighbours and their distance in Å.
Space group I-4m2 (No. 119)
Inequivalent atoms, fractional coordinates:
Be: 0.0000 0.0000 0.0000 x2  4 W 2.55, 4 Be 2.61, 4 Ir 2.61
Be: 0.0000 0.5000 0.2500 x2  4 Ir 2.55, 4 W 2.61, 4 Be 2.61
Ir: 0.0000 0.5000 0.7500 x2  8 Be 2.55-2.61, 4 W 2.61
W: 0.0000 0.0000 0.5000 x2  8 Be 2.55-2.61, 4 Ir 2.61

Quick one: least stable of them? entry two

Entry one
A relaxed Be2IrW crystal, computed with PBE.

DOS(E_F)   2.5 states/eV/f.u.
Calculated density   12.62 g cm⁻³

a = 2.7491 Å, b = 2.7491 Å, c = 23.7574 Å
α = 90.00°, β = 90.00°, γ = 120.00°
Last column: nearest neighbours and their distance in Å.
Space group R3m (No. 160, hexagonal axes)
Inequivalent atoms, fractional coordinates:
Be: 0.0000 0.0000 0.0000 x3  3 Be 2.43, 3 W 2.60
Be: 0.0000 0.0000 0.2559 x3  3 Ir 2.42, 3 Be 2.43
Ir: 0.0000 0.0000 0.5123 x3  3 Be 2.42, 3 W 2.71
W: 0.0000 0.0000 0.7533 x3  3 Be 2.60, 3 Ir 2.71, 6 W 2.75

Entry two
A relaxed Be2IrW crystal, computed with PBE.

DOS(E_F)   1.6 states/eV/f.u.
Calculated density   13.03 g cm⁻³

a = 4.1028 Å, b = 2.7632 Å, c = 4.6214 Å
α = 90.00°, β = 106.56°, γ = 90.00°
Last column: nearest neighbours and their distance in Å.
Space group P2/m (No. 10)
Inequivalent atoms, fractional coordinates:
Be: 0.0000 0.0000 0.0000 x1  4 W 2.47, 2 Ir 2.62, 6 Be 2.69-2.76
Be: 0.0000 0.5000 0.5000 x1  4 Ir 2.47, 2 W 2.62, 6 Be 2.69-2.76
Ir: 0.5000 0.0000 0.5000 x1  6 Be 2.47-2.62, 4 W 2.69, 2 Ir 2.76
W: 0.5000 0.5000 0.0000 x1  6 Be 2.47-2.62, 4 Ir 2.69, 2 W 2.76

Entry three
A relaxed Be2IrW crystal, computed with PBE.

DOS(E_F)   2.1 states/eV/f.u.
Calculated density   13.13 g cm⁻³

a = 7.9582 Å, b = 2.7591 Å, c = 4.7020 Å
α = 90.00°, β = 105.17°, γ = 90.00°
Last column: nearest neighbours and their distance in Å.
Space group C2/m (No. 12)
Inequivalent atoms, fractional coordinates:
Be: 0.2430 0.0000 0.2064 x4  3 Ir 2.37-2.48, 2 Be 2.41, 2 W 2.55
Ir: 0.0000 0.5000 0.0000 x2  6 Be 2.37-2.48
W: 0.0000 0.0000 0.5000 x2  6 Be 2.55-2.65, 4 Ir 2.73, 2 W 2.76

Quick one: least stable of them? entry one

Entry one
A relaxed Be2IrW crystal, computed with PBE.

DOS(E_F)   2.2 states/eV/f.u.
Calculated density   14.05 g cm⁻³

a = 5.7115 Å, b = 5.7115 Å, c = 5.7115 Å
α = 90.00°, β = 90.00°, γ = 90.00°
Last column: nearest neighbours and their distance in Å.
Space group Fm-3m (No. 225)
Inequivalent atoms, fractional coordinates:
Be: 0.2500 0.2500 0.2500 x8  4 W 2.47, 4 Ir 2.47
Ir: 0.0000 0.0000 0.0000 x4  8 Be 2.47
W: 0.0000 0.0000 0.5000 x4  8 Be 2.47

Entry two
A relaxed Be2IrW crystal, computed with PBE.

DOS(E_F)   1.9 states/eV/f.u.
Calculated density   13.04 g cm⁻³

a = 6.2258 Å, b = 6.2258 Å, c = 5.1800 Å
α = 90.00°, β = 90.00°, γ = 90.00°
Last column: nearest neighbours and their distance in Å.
Space group I-42d (No. 122)
Inequivalent atoms, fractional coordinates:
Be: 0.2325 0.2500 0.1250 x8  2 Ir 2.22, 2 W 2.37
Ir: 0.0000 0.0000 0.0000 x4  4 Be 2.22
W: 0.0000 0.0000 0.5000 x4  4 Be 2.37, 2 Ir 2.59

Quick one: least stable of them? entry two